Entry 1:
# PBE-GGA Sm12YEr5, optimized geometry
data_Sm12YEr5
_chemical_formula_sum 'Sm24 Y2 Er10'
_space_group_name_H-M_alt 'C m m m'
_space_group_IT_number 65
_space_group_name_Hall '-C 2 2'
_cell_length_a 15.212
_cell_length_b 15.253
_cell_length_c 5.085
_cell_angle_alpha 90.00
_cell_angle_beta 90.00
_cell_angle_gamma 90.00
loop_
_atom_site_label
_atom_site_fract_x
_atom_site_fract_y
_atom_site_fract_z
_atom_site_occupancy
Sm1 0.165 0.000 0.000 1
Sm2 0.165 0.167 0.500 1
Sm3 0.166 0.333 0.000 1
Sm4 0.166 0.500 0.500 1
Y1 0.000 0.500 0.000 1
Er1 0.000 0.000 0.500 1
Er2 0.000 0.167 0.000 1
Er3 0.000 0.333 0.500 1
# Formation enthalpy at 0 K (kJ/mol of formula units): 34
# Theoretical density (g cm⁻³): 7.68
# N(E_F) (states/eV/cell): 51.96

Entry 2:
# PBE-GGA Sm10YEr4, optimized geometry
data_Sm10YEr4
_chemical_formula_sum 'Sm20 Y2 Er8'
_space_group_name_H-M_alt 'I 4/m'
_space_group_IT_number 87
_space_group_name_Hall '-I 4'
_cell_length_a 9.986
_cell_length_b 9.986
_cell_length_c 10.517
_cell_angle_alpha 90.00
_cell_angle_beta 90.00
_cell_angle_gamma 90.00
loop_
_atom_site_label
_atom_site_fract_x
_atom_site_fract_y
_atom_site_fract_z
_atom_site_occupancy
Sm1 0.000 0.500 0.250 1
Sm2 0.122 0.225 0.167 1
Y1 0.000 0.000 0.000 1
Er1 0.052 0.274 0.500 1
# Formation enthalpy at 0 K (kJ/mol of formula units): 653
# Theoretical density (g cm⁻³): 7.16
# N(E_F) (states/eV/cell): 48.65

Entry 3:
# PBE-GGA SmY8Er6, optimized geometry
data_SmY8Er6
_chemical_formula_sum 'Sm1 Y8 Er6'
_space_group_name_H-M_alt 'P -3'
_space_group_IT_number 147
_space_group_name_Hall '-P 3'
_cell_length_a 9.3801
_cell_length_b 9.3801
_cell_length_c 6.5510
_cell_angle_alpha 90.00
_cell_angle_beta 90.00
_cell_angle_gamma 120.00
loop_
_atom_site_label
_atom_site_fract_x
_atom_site_fract_y
_atom_site_fract_z
_atom_site_occupancy
Sm1 0.0000 0.0000 0.0000 1
Y1 0.0273 0.3383 0.6003 1
Y2 0.3333 0.6667 0.3209 1
Er1 0.0894 0.6783 0.9070 1
# Offset from the most stable computed form (eV/atom): 0.107
# Formation enthalpy at 0 K (kJ/mol of formula units): 351
# Theoretical density (g cm⁻³): 6.20
# N(E_F) (states/eV/cell): 22.94

Entry 4:
# PBE-GGA Sm4Y4Er3, optimized geometry
data_Sm4Y4Er3
_chemical_formula_sum 'Sm4 Y4 Er3'
_space_group_name_H-M_alt 'P -1'
_space_group_IT_number 2
_space_group_name_Hall '-P 1'
_cell_length_a 3.533
_cell_length_b 5.624
_cell_length_c 18.175
_cell_angle_alpha 98.89
_cell_angle_beta 95.57
_cell_angle_gamma 90.00
loop_
_atom_site_label
_atom_site_fract_x
_atom_site_fract_y
_atom_site_fract_z
_atom_site_occupancy
Sm1 0.046 0.047 0.092 1
Sm2 0.179 0.680 0.359 1
Y1 0.090 0.591 0.181 1
Y2 0.233 0.233 0.465 1
Er1 0.364 0.863 0.727 1
Er2 0.500 0.500 0.000 1
# Offset from the most stable computed form (eV/atom): 0.000
# Formation enthalpy at 0 K (kJ/mol of formula units): 58
# Theoretical density (g cm⁻³): 6.82
# N(E_F) (states/eV/cell): 19.97

Entry 5:
# PBE-GGA Sm5Y2Er12, optimized geometry
data_Sm5Y2Er12
_chemical_formula_sum 'Sm10 Y4 Er24'
_space_group_name_H-M_alt 'C 1 2/m 1'
_space_group_IT_number 12
_space_group_name_Hall '-C 2y'
_cell_length_a 15.523
_cell_length_b 9.253
_cell_length_c 8.574
_cell_angle_alpha 90.00
_cell_angle_beta 91.84
_cell_angle_gamma 90.00
loop_
_atom_site_label
_atom_site_fract_x
_atom_site_fract_y
_atom_site_fract_z
_atom_site_occupancy
Sm1 0.000 0.000 0.000 1
Sm2 0.206 0.500 0.517 1
Sm3 0.230 0.000 0.072 1
Y1 0.000 0.325 0.500 1
Er1 0.057 0.500 0.835 1
Er2 0.077 0.000 0.376 1
Er3 0.129 0.310 0.166 1
Er4 0.149 0.179 0.741 1
# Offset from the most stable computed form (eV/atom): 0.064
# Formation enthalpy at 0 K (kJ/mol of formula units): 232
# Theoretical density (g cm⁻³): 7.92
# N(E_F) (states/eV/cell): 50.64

Entry 6:
# PBE-GGA SmY4Er, optimized geometry
data_SmY4Er
_chemical_formula_sum 'Sm4 Y16 Er4'
_space_group_name_H-M_alt 'C 1 2/c 1'
_space_group_IT_number 15
_space_group_name_Hall '-C 2yc'
_cell_length_a 10.764
_cell_length_b 6.216
_cell_length_c 12.091
_cell_angle_alpha 90.00
_cell_angle_beta 107.23
_cell_angle_gamma 90.00
loop_
_atom_site_label
_atom_site_fract_x
_atom_site_fract_y
_atom_site_fract_z
_atom_site_occupancy
Sm1 0.000 0.084 0.250 1
Y1 0.083 0.250 0.000 1
Y2 0.167 0.418 0.750 1
Er1 0.250 0.250 0.500 1
# Offset from the most stable computed form (eV/atom): 0.000
# Formation enthalpy at 0 K (kJ/mol of formula units): 5
# Theoretical density (g cm⁻³): 5.79
# N(E_F) (states/eV/cell): 34.11

Entry 7:
# PBE-GGA Sm6Y5Er2, optimized geometry
data_Sm6Y5Er2
_chemical_formula_sum 'Sm12 Y10 Er4'
_space_group_name_H-M_alt 'P b a m'
_space_group_IT_number 55
_space_group_name_Hall '-P 2 2ab'
_cell_length_a 11.664
_cell_length_b 20.516
_cell_length_c 3.618
_cell_angle_alpha 90.00
_cell_angle_beta 90.00
_cell_angle_gamma 90.00
loop_
_atom_site_label
_atom_site_fract_x
_atom_site_fract_y
_atom_site_fract_z
_atom_site_occupancy
Sm1 0.063 0.079 0.000 1
Sm2 0.082 0.366 0.000 1
Sm3 0.171 0.636 0.500 1
Y1 0.000 0.500 0.500 1
Y2 0.091 0.226 0.500 1
Y3 0.197 0.944 0.500 1
Er1 0.167 0.789 0.000 1
# Formation enthalpy at 0 K (kJ/mol of formula units): 126
# Theoretical density (g cm⁻³): 6.45
# N(E_F) (states/eV/cell): 32.04

Entry 8:
# PBE-GGA Sm6Y12Er, optimized geometry
data_Sm6Y12Er
_chemical_formula_sum 'Sm18 Y36 Er3'
_space_group_name_H-M_alt 'R -3 m'
_space_group_IT_number 166
_space_group_name_Hall '-R 3 2"'
_cell_length_a 13.3305
_cell_length_b 13.3305
_cell_length_c 12.5776
_cell_angle_alpha 90.00
_cell_angle_beta 90.00
_cell_angle_gamma 120.00
loop_
_atom_site_label
_atom_site_fract_x
_atom_site_fract_y
_atom_site_fract_z
_atom_site_occupancy
Sm1 0.0414 0.5207 0.1176 1
Y1 0.0000 0.2586 0.0000 1
Y2 0.0903 0.1806 0.7625 1
Er1 0.0000 0.0000 0.5000 1
# Offset from the most stable computed form (eV/atom): 0.063
# Formation enthalpy at 0 K (kJ/mol of formula units): 381
# Theoretical density (g cm⁻³): 5.50
# N(E_F) (states/eV/cell): 104.12

Entry 9:
# PBE-GGA Sm5YEr4, optimized geometry
data_Sm5YEr4
_chemical_formula_sum 'Sm10 Y2 Er8'
_space_group_name_H-M_alt 'I 4'
_space_group_IT_number 79
_space_group_name_Hall 'I 4'
_cell_length_a 10.231
_cell_length_b 10.231
_cell_length_c 6.301
_cell_angle_alpha 90.00
_cell_angle_beta 90.00
_cell_angle_gamma 90.00
loop_
_atom_site_label
_atom_site_fract_x
_atom_site_fract_y
_atom_site_fract_z
_atom_site_occupancy
Sm1 0.000 0.000 0.000 1
Sm2 0.147 0.234 0.733 1
Y1 0.000 0.000 0.458 1
Er1 0.048 0.347 0.234 1
# Offset from the most stable computed form (eV/atom): 0.263
# Formation enthalpy at 0 K (kJ/mol of formula units): 290
# Theoretical density (g cm⁻³): 7.60
# N(E_F) (states/eV/cell): 30.94

Entry 10:
# PBE-GGA Sm5Y2Er3, optimized geometry
data_Sm5Y2Er3
_chemical_formula_sum 'Sm20 Y8 Er12'
_space_group_name_H-M_alt 'I b a m'
_space_group_IT_number 72
_space_group_name_Hall '-I 2 2c'
_cell_length_a 9.372
_cell_length_b 21.881
_cell_length_c 6.808
_cell_angle_alpha 90.00
_cell_angle_beta 90.00
_cell_angle_gamma 90.00
loop_
_atom_site_label
_atom_site_fract_x
_atom_site_fract_y
_atom_site_fract_z
_atom_site_occupancy
Sm1 0.000 0.000 0.250 1
Sm2 0.000 0.250 0.250 1
Sm3 0.097 0.124 0.000 1
Y1 0.093 0.375 0.500 1
Er1 0.000 0.500 0.250 1
Er2 0.248 0.379 0.000 1
# Offset from the most stable computed form (eV/atom): 0.206
# Formation enthalpy at 0 K (kJ/mol of formula units): 385
# Theoretical density (g cm⁻³): 6.81
# N(E_F) (states/eV/cell): 65.50

Entry 11:
# PBE-GGA Sm4Y6Er, optimized geometry
data_Sm4Y6Er
_chemical_formula_sum 'Sm4 Y6 Er1'
_space_group_name_H-M_alt 'P -6 m 2'
_space_group_IT_number 187
_space_group_name_Hall 'P -6 2'
_cell_length_a 10.9500
_cell_length_b 10.9500
_cell_length_c 3.5786
_cell_angle_alpha 90.00
_cell_angle_beta 90.00
_cell_angle_gamma 120.00
loop_
_atom_site_label
_atom_site_fract_x
_atom_site_fract_y
_atom_site_fract_z
_atom_site_occupancy
Sm1 0.0000 0.0000 0.0000 1
Sm2 0.5077 0.0155 0.5000 1
Y1 0.1875 0.3749 0.0000 1
Y2 0.3015 0.1507 0.5000 1
Er1 0.6667 0.3333 0.0000 1
# Offset from the most stable computed form (eV/atom): 0.040
# Formation enthalpy at 0 K (kJ/mol of formula units): 170
# Theoretical density (g cm⁻³): 5.82
# N(E_F) (states/eV/cell): 17.58

Entry 12:
# PBE-GGA Sm3Y2Er2, optimized geometry
data_Sm3Y2Er2
_chemical_formula_sum 'Sm6 Y4 Er4'
_space_group_name_H-M_alt 'C 1 2/m 1'
_space_group_IT_number 12
_space_group_name_Hall '-C 2y'
_cell_length_a 17.522
_cell_length_b 3.512
_cell_length_c 8.553
_cell_angle_alpha 90.00
_cell_angle_beta 119.03
_cell_angle_gamma 90.00
loop_
_atom_site_label
_atom_site_fract_x
_atom_site_fract_y
_atom_site_fract_z
_atom_site_occupancy
Sm1 0.000 0.000 0.000 1
Sm2 0.213 0.000 0.299 1
Y1 0.065 0.500 0.410 1
Er1 0.146 0.000 0.826 1
# Offset from the most stable computed form (eV/atom): 0.097
# Formation enthalpy at 0 K (kJ/mol of formula units): 78
# Theoretical density (g cm⁻³): 6.95
# N(E_F) (states/eV/cell): 22.52

Repeat the second record exactly.
# PBE-GGA Sm10YEr4, optimized geometry
data_Sm10YEr4
_chemical_formula_sum 'Sm20 Y2 Er8'
_space_group_name_H-M_alt 'I 4/m'
_space_group_IT_number 87
_space_group_name_Hall '-I 4'
_cell_length_a 9.986
_cell_length_b 9.986
_cell_length_c 10.517
_cell_angle_alpha 90.00
_cell_angle_beta 90.00
_cell_angle_gamma 90.00
loop_
_atom_site_label
_atom_site_fract_x
_atom_site_fract_y
_atom_site_fract_z
_atom_site_occupancy
Sm1 0.000 0.500 0.250 1
Sm2 0.122 0.225 0.167 1
Y1 0.000 0.000 0.000 1
Er1 0.052 0.274 0.500 1
# Formation enthalpy at 0 K (kJ/mol of formula units): 653
# Theoretical density (g cm⁻³): 7.16
# N(E_F) (states/eV/cell): 48.65

Question: Which value of theoretical density does entry 12 give?
Answer: 6.95 g cm⁻³

Question: The lowest theoretical density belongs to which entry?
Answer: Sm6Y12Er